Density functional theory data (GGA-PBEsol) for an optimized crystal structure of CdRh.

Unit cell a=4.3102 b=4.3102 c=4.8046 alpha=90.00 beta=90.00 gamma=120.00
Fractional coordinates of all 4 atoms:
Cd: 0.3333 0.6667 0.2500
Cd: 0.6667 0.3333 0.7500
Rh: 0.0000 0.0000 0.0000
Rh: 0.0000 0.0000 0.5000

Calculated values
calculated formation energy = 387.7 meV per atom

Density functional theory data (GGA-PBEsol) for an optimized crystal structure of FeRh2Cl.

Unit cell a=2.7853 b=2.7853 c=7.0508 alpha=90.00 beta=90.00 gamma=90.00
Fractional coordinates of all 4 atoms:
Fe: 0.0000 0.0000 0.0000
Rh: 0.0000 0.0000 0.4913
Rh: 0.5000 0.5000 0.2400
Cl: 0.5000 0.5000 0.7750

Calculated values
formation energy (no corrections) = 1.14 eV per formula unit

Density functional theory data (GGA-PBEsol) for an optimized crystal structure of MnPbW.

Unit cell a=6.2737 b=6.2737 c=6.2737 alpha=90.00 beta=90.00 gamma=90.00
Fractional coordinates of all 12 atoms:
Mn: 0.0000 0.0000 0.0000
Mn: 0.0000 0.5000 0.5000
Mn: 0.5000 0.0000 0.5000
Mn: 0.5000 0.5000 0.0000
Pb: 0.2500 0.2500 0.7500
Pb: 0.2500 0.7500 0.2500
Pb: 0.7500 0.2500 0.2500
Pb: 0.7500 0.7500 0.7500
W: 0.0000 0.0000 0.5000
W: 0.0000 0.5000 0.0000
W: 0.5000 0.0000 0.0000
W: 0.5000 0.5000 0.5000

Calculated values
calculated formation energy = 1576.2 meV per atom

Density functional theory data (GGA-PBEsol) for an optimized crystal structure of Mg2TlAs2.

Unit cell a=8.1530 b=8.1530 c=3.1730 alpha=90.00 beta=90.00 gamma=90.00
Fractional coordinates of all 10 atoms:
Mg: 0.1405 0.3595 0.0000
Mg: 0.3595 0.8595 0.0000
Mg: 0.6405 0.1405 0.0000
Mg: 0.8595 0.6405 0.0000
Tl: 0.0000 0.0000 0.5000
Tl: 0.5000 0.5000 0.5000
As: 0.1553 0.6553 0.5000
As: 0.3447 0.1553 0.5000
As: 0.6553 0.8447 0.5000
As: 0.8447 0.3447 0.5000

Calculated values
calculated formation energy = -256.5 meV per atom

Density functional theory data (GGA-PBEsol) for an optimized crystal structure of GaSn3.

Unit cell a=6.4064 b=6.4064 c=5.4619 alpha=90.00 beta=90.00 gamma=120.00
Fractional coordinates of all 8 atoms:
Ga: 0.3333 0.6667 0.2500
Ga: 0.6667 0.3333 0.7500
Sn: 0.1682 0.3364 0.7500
Sn: 0.1682 0.8318 0.7500
Sn: 0.3364 0.1682 0.2500
Sn: 0.6636 0.8318 0.7500
Sn: 0.8318 0.1682 0.2500
Sn: 0.8318 0.6636 0.2500

Calculated values
calculated formation energy = 41.9 meV per atom

Density functional theory data (GGA-PBEsol) for an optimized crystal structure of TcAg3As.

Unit cell a=4.7189 b=4.7189 c=4.7189 alpha=90.00 beta=90.00 gamma=90.00
Fractional coordinates of all 5 atoms:
Tc: 0.0000 0.0000 0.0000
Ag: 0.0000 0.5000 0.5000
Ag: 0.5000 0.0000 0.5000
Ag: 0.5000 0.5000 0.0000
As: 0.5000 0.5000 0.5000

Calculated values
calculated formation energy = 1227.1 meV per atom

Density functional theory data (GGA-PBEsol) for an optimized crystal structure of Sc2CuF.

Unit cell a=3.7504 b=3.7504 c=20.4725 alpha=90.00 beta=90.00 gamma=120.00
Fractional coordinates of all 12 atoms:
Sc: 0.0000 0.0000 0.0983
Sc: 0.0000 0.0000 0.9017
Sc: 0.3333 0.6667 0.5684
Sc: 0.3333 0.6667 0.7649
Sc: 0.6667 0.3333 0.2351
Sc: 0.6667 0.3333 0.4316
Cu: 0.0000 0.0000 0.5000
Cu: 0.3333 0.6667 0.1667
Cu: 0.6667 0.3333 0.8333
F: 0.0000 0.0000 0.0000
F: 0.3333 0.6667 0.6667
F: 0.6667 0.3333 0.3333

Calculated values
formation energy (no corrections) = -4.63 eV per formula unit

Density functional theory data (GGA-PBEsol) for an optimized crystal structure of K2TcMo.

Unit cell a=3.3569 b=3.3569 c=35.0349 alpha=90.00 beta=90.00 gamma=120.00
Fractional coordinates of all 12 atoms:
K: 0.0000 0.0000 0.0000
K: 0.0000 0.0000 0.2130
K: 0.3333 0.6667 0.6667
K: 0.3333 0.6667 0.8797
K: 0.6667 0.3333 0.3333
K: 0.6667 0.3333 0.5463
Tc: 0.0000 0.0000 0.4627
Tc: 0.3333 0.6667 0.1293
Tc: 0.6667 0.3333 0.7960
Mo: 0.0000 0.0000 0.7560
Mo: 0.3333 0.6667 0.4226
Mo: 0.6667 0.3333 0.0893

Calculated values
calculated formation energy = 942.3 meV per atom

| no. | total magnetization (μB per cell) | N(E_F) (states/eV/f.u.) |
| --- | --- | --- |
| 1 | 0.0 | 1.3 |
| 2 | 2.5 | 4.2 |
| 3 | 13.4 | 3.2 |
| 4 | 0.0 | 1.9 |
| 5 | 0.0 | 1.8 |
| 6 | 3.5 | 4.5 |
| 7 | 0.0 | 3.5 |
| 8 | 0.0 | 3.5 |